i) Computed, not measured: an optimized crystal structure of In2Mo2Os at the GGA-PBE level of DFT.

Output
density	10.51	g/cm3
crystal system	tetragonal

a b c (Å): 6.516 6.516 4.554
angles (deg): 90.00 90.00 90.00
Space group P4/mbm (No. 127)
Asymmetric unit:
In  0.174  0.326  0.000
Mo  0.135  0.635  0.500
Os  0.000  0.000  0.500

***

ii) Computed, not measured: an optimized crystal structure of In2Mo2Os at the GGA-PBE level of DFT.

Output
density	10.35	g/cm3
crystal system	tetragonal

a b c (Å): 3.725 3.725 14.155
angles (deg): 90.00 90.00 90.00
Space group I4/mmm (No. 139)
Asymmetric unit:
In  0.000  0.500  0.250
Mo  0.000  0.000  0.082
Os  0.000  0.000  0.500

***

Which of them is the least stable? Correct choice: ii).